# BaCl GGA-PBE optimized geometry
data_BaCl
_symmetry_space_group_name_H-M 'P 1'
_symmetry_Int_Tables_number 1
_cell_length_a 9.594
_cell_length_b 9.594
_cell_length_c 9.594
_cell_angle_alpha 93.34
_cell_angle_beta 93.34
_cell_angle_gamma 152.05
loop_
_symmetry_equiv_pos_as_xyz
'x,y,z'
loop_
_atom_site_label
_atom_site_type_symbol
_atom_site_fract_x
_atom_site_fract_y
_atom_site_fract_z
Ba1 Ba 0.095 0.680 0.775
Ba2 Ba 0.320 0.095 0.415
Ba3 Ba 0.680 0.905 0.585
Ba4 Ba 0.905 0.320 0.225
Cl1 Cl 0.126 0.236 0.362
Cl2 Cl 0.236 0.874 0.110
Cl3 Cl 0.764 0.126 0.890
Cl4 Cl 0.874 0.764 0.638
# **Calculated volume**: 402 Å³ per cell
# **Formation energy (no corrections)**: -1.72 eV/atom